1.
Computed, not measured: a geometry-optimized KNa2NpF8 structure at the PBE level of DFT.

Properties
The value obtained for the final energy is -67.35 eV per cell. The size of the total moment comes out at 2.3 μB/f.u. The formation energy from raw total energies comes out at -2.9757 eV/atom.

Lattice parameters (Å, degrees): 4.0689 5.8122 8.1914 89.98 90.00 90.33
Last column: nearest neighbours and their distance in Å.
Fractional positions:
1 K 0.0000 0.0000 0.5000  4 F 2.55
2 Na 0.5001 0.5000 0.7113  2 F 2.20
3 Na 0.4999 0.5000 0.2887  2 F 2.20
4 Np 0.0000 0.0000 0.0000  6 F 2.10-2.35
5 F 0.9981 0.7629 0.1939  1 Np 2.10
6 F 0.4984 0.7959 0.0000  2 Np 2.35-2.36, 5 F 2.37-2.59
7 F 0.0019 0.2370 0.1939  1 Np 2.10
8 F 0.0019 0.2371 0.8061  1 Np 2.10
9 F 0.5016 0.2041 0.0000  2 Np 2.35-2.36, 5 F 2.37-2.59
10 F 0.9981 0.7630 0.8061  1 Np 2.10
11 F 0.4975 0.7344 0.4999  2 Na 2.20
12 F 0.5025 0.2656 0.5001  2 Na 2.20

2.
Computed, not measured: a geometry-optimized Zn2PRu structure at the PBE level of DFT.

Properties
The value obtained for the final energy is -16.89 eV per cell. Its energy of formation is 8.3 kJ per mole of atoms. The size of the total moment comes out at 0.2 μB/f.u.

Lattice parameters (Å, degrees): 4.8135 2.8422 4.2213 83.85 90.00 90.00
Last column: nearest neighbours and their distance in Å.
Fractional positions:
1 Zn 0.0000 0.2304 0.7442  3 Zn 2.40-2.56, 2 P 2.69
2 Zn 0.0000 0.7696 0.2558  3 Zn 2.40-2.56, 2 P 2.69
3 P 0.5000 0.0000 0.0000  4 Ru 2.41-2.67, 4 Zn 2.69
4 Ru 0.5000 0.5000 0.5000  4 P 2.41-2.67, 4 Zn 2.70